# Al2As2Os | Alexandria via LeMat-Bulk | GGA-PBEsol | optimized geometry
# Formation enthalpy at 0 K, meV/atom: 329
# SG: P4/mbm
data_Al2As2Os
_chemical_formula_sum 'Al4 As4 Os2'
_cell_length_a 6.8038
_cell_length_b 6.8038
_cell_length_c 3.4826
_cell_angle_alpha 90.00
_cell_angle_beta 90.00
_cell_angle_gamma 90.00
_space_group_name_H-M_alt 'P 1'
_space_group_IT_number 1
loop_
_space_group_symop_operation_xyz
'x,y,z'
loop_
_atom_site_label
_atom_site_type_symbol
_atom_site_fract_x
_atom_site_fract_y
_atom_site_fract_z
Al1 Al 0.1418 0.3582 0.0000
Al2 Al 0.3582 0.8582 0.0000
Al3 Al 0.6418 0.1418 0.0000
Al4 Al 0.8582 0.6418 0.0000
As1 As 0.1657 0.6657 0.5000
As2 As 0.3343 0.1657 0.5000
As3 As 0.6657 0.8343 0.5000
As4 As 0.8343 0.3343 0.5000
Os1 Os 0.0000 0.0000 0.5000
Os2 Os 0.5000 0.5000 0.5000

=====

# Be2Nb2In | Alexandria via LeMat-Bulk | GGA-PBEsol | optimized geometry
# Formation enthalpy at 0 K, meV/atom: -107
# SG: P4/mbm
data_Be2Nb2In
_chemical_formula_sum 'Be4 Nb4 In2'
_cell_length_a 6.3244
_cell_length_b 6.3244
_cell_length_c 3.5517
_cell_angle_alpha 90.00
_cell_angle_beta 90.00
_cell_angle_gamma 90.00
_space_group_name_H-M_alt 'P 1'
_space_group_IT_number 1
loop_
_space_group_symop_operation_xyz
'x,y,z'
loop_
_atom_site_label
_atom_site_type_symbol
_atom_site_fract_x
_atom_site_fract_y
_atom_site_fract_z
Be1 Be 0.1143 0.3857 0.0000
Be2 Be 0.3857 0.8857 0.0000
Be3 Be 0.6143 0.1143 0.0000
Be4 Be 0.8857 0.6143 0.0000
Nb1 Nb 0.1749 0.6749 0.5000
Nb2 Nb 0.3251 0.1749 0.5000
Nb3 Nb 0.6749 0.8251 0.5000
Nb4 Nb 0.8251 0.3251 0.5000
In1 In 0.0000 0.0000 0.0000
In2 In 0.5000 0.5000 0.0000

=====

# SrNiH3 | Alexandria via LeMat-Bulk | GGA-PBEsol | optimized geometry
# Electronic total energy, eV/atom: -4.04
# SG: Pm-3m
data_SrNiH3
_chemical_formula_sum 'Sr1 Ni1 H3'
_cell_length_a 3.6188
_cell_length_b 3.6188
_cell_length_c 3.6188
_cell_angle_alpha 90.00
_cell_angle_beta 90.00
_cell_angle_gamma 90.00
_space_group_name_H-M_alt 'P 1'
_space_group_IT_number 1
loop_
_space_group_symop_operation_xyz
'x,y,z'
loop_
_atom_site_label
_atom_site_type_symbol
_atom_site_fract_x
_atom_site_fract_y
_atom_site_fract_z
Sr1 Sr 0.0000 0.0000 0.0000
Ni1 Ni 0.5000 0.5000 0.5000
H1 H 0.0000 0.5000 0.5000
H2 H 0.5000 0.0000 0.5000
H3 H 0.5000 0.5000 0.0000

=====

# Tc2SbPt | Alexandria via LeMat-Bulk | GGA-PBEsol | optimized geometry
# SG: Imm2
# Formation energy from raw total energies, eV per formula unit: 0.64
data_Tc2SbPt
_chemical_formula_sum 'Tc4 Sb2 Pt2'
_cell_length_a 3.2968
_cell_length_b 4.3955
_cell_length_c 8.6347
_cell_angle_alpha 90.00
_cell_angle_beta 90.00
_cell_angle_gamma 90.00
_space_group_name_H-M_alt 'P 1'
_space_group_IT_number 1
loop_
_space_group_symop_operation_xyz
'x,y,z'
loop_
_atom_site_label
_atom_site_type_symbol
_atom_site_fract_x
_atom_site_fract_y
_atom_site_fract_z
Tc1 Tc 0.0000 0.0000 0.0000
Tc2 Tc 0.0000 0.5000 0.2370
Tc3 Tc 0.5000 0.0000 0.7370
Tc4 Tc 0.5000 0.5000 0.5000
Sb1 Sb 0.0000 0.0000 0.4979
Sb2 Sb 0.5000 0.5000 0.9979
Pt1 Pt 0.0000 0.5000 0.7647
Pt2 Pt 0.5000 0.0000 0.2647

=====

# RbCoSeN2 | Alexandria via LeMat-Bulk | GGA-PBEsol | optimized geometry
# SG: P4/mmm
# Formation energy from raw total energies, eV per formula unit: 14.27
data_RbCoSeN2
_chemical_formula_sum 'Rb1 Co1 Se1 N2'
_cell_length_a 4.8576
_cell_length_b 4.8576
_cell_length_c 6.3817
_cell_angle_alpha 90.00
_cell_angle_beta 90.00
_cell_angle_gamma 90.00
_space_group_name_H-M_alt 'P 1'
_space_group_IT_number 1
loop_
_space_group_symop_operation_xyz
'x,y,z'
loop_
_atom_site_label
_atom_site_type_symbol
_atom_site_fract_x
_atom_site_fract_y
_atom_site_fract_z
Rb1 Rb 0.0000 0.0000 0.0000
Co1 Co 0.5000 0.5000 0.5000
Se1 Se 0.0000 0.0000 0.5000
N1 N 0.0000 0.5000 0.0000
N2 N 0.5000 0.0000 0.0000

=====

# K2MoSeO6 | Alexandria via LeMat-Bulk | GGA-PBEsol | optimized geometry
# SG: P2_1/c
# Formation energy from raw total energies, eV per formula unit: -17.34
data_K2MoSeO6
_chemical_formula_sum 'K8 Mo4 Se4 O24'
_cell_length_a 6.0577
_cell_length_b 15.2551
_cell_length_c 7.5346
_cell_angle_alpha 90.00
_cell_angle_beta 111.68
_cell_angle_gamma 90.00
_space_group_name_H-M_alt 'P 1'
_space_group_IT_number 1
loop_
_space_group_symop_operation_xyz
'x,y,z'
loop_
_atom_site_label
_atom_site_type_symbol
_atom_site_fract_x
_atom_site_fract_y
_atom_site_fract_z
K1 K 0.1070 0.0542 0.3164
K2 K 0.1070 0.4458 0.8164
K3 K 0.3611 0.6982 0.1134
K4 K 0.3611 0.8018 0.6134
K5 K 0.6389 0.1982 0.3866
K6 K 0.6389 0.3018 0.8866
K7 K 0.8930 0.5542 0.1836
K8 K 0.8930 0.9458 0.6836
Mo1 Mo 0.4688 0.0629 0.8181
Mo2 Mo 0.4688 0.4371 0.3181
Mo3 Mo 0.5312 0.5629 0.6819
Mo4 Mo 0.5312 0.9371 0.1819
Se1 Se 0.0958 0.1732 0.8764
Se2 Se 0.0958 0.3268 0.3764
Se3 Se 0.9042 0.6732 0.6236
Se4 Se 0.9042 0.8268 0.1236
O1 O 0.0480 0.2276 0.2740
O2 O 0.0480 0.2724 0.7740
O3 O 0.1097 0.1040 0.6930
O4 O 0.1097 0.3960 0.1930
O5 O 0.2864 0.5183 0.4881
O6 O 0.2864 0.9817 0.9881
O7 O 0.3821 0.5220 0.1516
O8 O 0.3821 0.9780 0.6516
O9 O 0.3964 0.6371 0.7854
O10 O 0.3964 0.8629 0.2854
O11 O 0.4056 0.1638 0.9934
O12 O 0.4056 0.3362 0.4934
O13 O 0.5944 0.6638 0.5066
O14 O 0.5944 0.8362 0.0066
O15 O 0.6036 0.1371 0.7146
O16 O 0.6036 0.3629 0.2146
O17 O 0.6179 0.0220 0.3484
O18 O 0.6179 0.4780 0.8484
O19 O 0.7136 0.0183 0.0119
O20 O 0.7136 0.4817 0.5119
O21 O 0.8903 0.6040 0.8070
O22 O 0.8903 0.8960 0.3070
O23 O 0.9520 0.7276 0.2260
O24 O 0.9520 0.7724 0.7260

=====

# Sr2TePtCl | Alexandria via LeMat-Bulk | GGA-PBEsol | optimized geometry
# SG: P4/mmm
# Formation energy from raw total energies, eV per formula unit: -0.90
data_Sr2TePtCl
_chemical_formula_sum 'Sr2 Te1 Pt1 Cl1'
_cell_length_a 6.0942
_cell_length_b 6.0942
_cell_length_c 5.1764
_cell_angle_alpha 90.00
_cell_angle_beta 90.00
_cell_angle_gamma 90.00
_space_group_name_H-M_alt 'P 1'
_space_group_IT_number 1
loop_
_space_group_symop_operation_xyz
'x,y,z'
loop_
_atom_site_label
_atom_site_type_symbol
_atom_site_fract_x
_atom_site_fract_y
_atom_site_fract_z
Sr1 Sr 0.0000 0.5000 0.0000
Sr2 Sr 0.5000 0.0000 0.0000
Te1 Te 0.0000 0.0000 0.0000
Pt1 Pt 0.5000 0.5000 0.5000
Cl1 Cl 0.0000 0.0000 0.5000

=====

# NiSe | Alexandria via LeMat-Bulk | GGA-PBEsol | optimized geometry
# SG: P4/nmm
# Formation energy from raw total energies, eV per formula unit: -0.48
data_NiSe
_chemical_formula_sum 'Ni2 Se2'
_cell_length_a 3.1574
_cell_length_b 3.1574
_cell_length_c 6.3066
_cell_angle_alpha 90.00
_cell_angle_beta 90.00
_cell_angle_gamma 90.00
_space_group_name_H-M_alt 'P 1'
_space_group_IT_number 1
loop_
_space_group_symop_operation_xyz
'x,y,z'
loop_
_atom_site_label
_atom_site_type_symbol
_atom_site_fract_x
_atom_site_fract_y
_atom_site_fract_z
Ni1 Ni 0.2500 0.2500 0.1090
Ni2 Ni 0.7500 0.7500 0.8910
Se1 Se 0.2500 0.2500 0.7352
Se2 Se 0.7500 0.7500 0.2648

=====

# Mg2RuAu | Alexandria via LeMat-Bulk | GGA-PBEsol | optimized geometry
# Formation enthalpy at 0 K, meV/atom: -23
# SG: R-3m
data_Mg2RuAu
_chemical_formula_sum 'Mg6 Ru3 Au3'
_cell_length_a 2.9101
_cell_length_b 2.9101
_cell_length_c 26.5991
_cell_angle_alpha 90.00
_cell_angle_beta 90.00
_cell_angle_gamma 120.00
_space_group_name_H-M_alt 'P 1'
_space_group_IT_number 1
loop_
_space_group_symop_operation_xyz
'x,y,z'
loop_
_atom_site_label
_atom_site_type_symbol
_atom_site_fract_x
_atom_site_fract_y
_atom_site_fract_z
Mg1 Mg 0.0000 0.0000 0.2458
Mg2 Mg 0.0000 0.0000 0.7542
Mg3 Mg 0.3333 0.6667 0.4209
Mg4 Mg 0.3333 0.6667 0.9125
Mg5 Mg 0.6667 0.3333 0.0875
Mg6 Mg 0.6667 0.3333 0.5791
Ru1 Ru 0.0000 0.0000 0.5000
Ru2 Ru 0.3333 0.6667 0.1667
Ru3 Ru 0.6667 0.3333 0.8333
Au1 Au 0.0000 0.0000 0.0000
Au2 Au 0.3333 0.6667 0.6667
Au3 Au 0.6667 0.3333 0.3333

=====

# ZrAl4C4 | Alexandria via LeMat-Bulk | GGA-PBEsol | optimized geometry
# Formation enthalpy at 0 K, meV/atom: -284
# SG: P-3m1
data_ZrAl4C4
_chemical_formula_sum 'Zr2 Al8 C8'
_cell_length_a 3.3342
_cell_length_b 3.3342
_cell_length_c 21.9409
_cell_angle_alpha 90.00
_cell_angle_beta 90.00
_cell_angle_gamma 120.00
_space_group_name_H-M_alt 'P 1'
_space_group_IT_number 1
loop_
_space_group_symop_operation_xyz
'x,y,z'
loop_
_atom_site_label
_atom_site_type_symbol
_atom_site_fract_x
_atom_site_fract_y
_atom_site_fract_z
Zr1 Zr 0.3333 0.6667 0.0610
Zr2 Zr 0.6667 0.3333 0.9390
Al1 Al 0.0000 0.0000 0.1646
Al2 Al 0.0000 0.0000 0.3512
Al3 Al 0.0000 0.0000 0.6488
Al4 Al 0.0000 0.0000 0.8354
Al5 Al 0.3333 0.6667 0.5454
Al6 Al 0.3333 0.6667 0.7330
Al7 Al 0.6667 0.3333 0.2670
Al8 Al 0.6667 0.3333 0.4546
C1 C 0.0000 0.0000 0.0000
C2 C 0.0000 0.0000 0.2532
C3 C 0.0000 0.0000 0.5000
C4 C 0.0000 0.0000 0.7468
C5 C 0.3333 0.6667 0.6330
C6 C 0.3333 0.6667 0.8756
C7 C 0.6667 0.3333 0.1244
C8 C 0.6667 0.3333 0.3670

=====

# BaScS2N | Alexandria via LeMat-Bulk | GGA-PBEsol | optimized geometry
# Energy relative to the lowest polymorph listed for this composition, eV per atom: 1.799
# SG: P4/mmm
# Formation energy from raw total energies, eV per formula unit: 3.12
data_BaScS2N
_chemical_formula_sum 'Ba1 Sc1 S2 N1'
_cell_length_a 5.5054
_cell_length_b 5.5054
_cell_length_c 4.3870
_cell_angle_alpha 90.00
_cell_angle_beta 90.00
_cell_angle_gamma 90.00
_space_group_name_H-M_alt 'P 1'
_space_group_IT_number 1
loop_
_space_group_symop_operation_xyz
'x,y,z'
loop_
_atom_site_label
_atom_site_type_symbol
_atom_site_fract_x
_atom_site_fract_y
_atom_site_fract_z
Ba1 Ba 0.0000 0.0000 0.0000
Sc1 Sc 0.5000 0.5000 0.5000
S1 S 0.0000 0.5000 0.0000
S2 S 0.5000 0.0000 0.0000
N1 N 0.0000 0.0000 0.5000

=====

# LiCa2As | Alexandria via LeMat-Bulk | GGA-PBEsol | optimized geometry
# Formation enthalpy at 0 K, meV/atom: -225
# SG: F-43m
data_LiCa2As
_chemical_formula_sum 'Li4 Ca8 As4'
_cell_length_a 7.3252
_cell_length_b 7.3252
_cell_length_c 7.3252
_cell_angle_alpha 90.00
_cell_angle_beta 90.00
_cell_angle_gamma 90.00
_space_group_name_H-M_alt 'P 1'
_space_group_IT_number 1
loop_
_space_group_symop_operation_xyz
'x,y,z'
loop_
_atom_site_label
_atom_site_type_symbol
_atom_site_fract_x
_atom_site_fract_y
_atom_site_fract_z
Li1 Li 0.0000 0.0000 0.0000
Li2 Li 0.0000 0.5000 0.5000
Li3 Li 0.5000 0.0000 0.5000
Li4 Li 0.5000 0.5000 0.0000
Ca1 Ca 0.0000 0.0000 0.5000
Ca2 Ca 0.0000 0.5000 0.0000
Ca3 Ca 0.2500 0.2500 0.2500
Ca4 Ca 0.2500 0.7500 0.7500
Ca5 Ca 0.5000 0.0000 0.0000
Ca6 Ca 0.5000 0.5000 0.5000
Ca7 Ca 0.7500 0.2500 0.7500
Ca8 Ca 0.7500 0.7500 0.2500
As1 As 0.2500 0.2500 0.7500
As2 As 0.2500 0.7500 0.2500
As3 As 0.7500 0.2500 0.2500
As4 As 0.7500 0.7500 0.7500

=====

no.,D(E_F) (states/eV per cell)
1,5.34
2,4.47
3,1.71
4,6.19
5,7.78
6,0.00
7,1.79
8,1.54
9,7.47
10,3.09
11,5.37
12,11.68